(1)
A relaxed Rb4Ac3AuO8 crystal, computed with GGA-PBE.

POSCAR file:
```
Rb4Ac3AuO8
1.0
7.3022 0.0000 0.0000
0.0000 7.6768 0.3764
-3.6511 -3.5620 5.9104
O Rb Ac Au
8 4 3 1
Direct
0.8231 0.3449 0.0641 O
0.2923 0.3169 0.5845 O
0.2411 0.3449 0.0641 O
0.7589 0.6551 0.9359 O
0.7111 0.2641 0.4222 O
0.7077 0.6831 0.4155 O
0.1769 0.6551 0.9359 O
0.2889 0.7359 0.5778 O
0.0000 0.0000 0.0000 Rb
0.5000 0.0000 0.5000 Rb
0.5000 0.0000 0.0000 Rb
0.0000 0.0000 0.5000 Rb
0.5000 0.5000 0.5000 Ac
0.5000 0.5000 0.0000 Ac
0.0000 0.5000 0.5000 Ac
0.0000 0.5000 0.0000 Au
```

Values from the calculation:
Space-group type: C2/m, No. 12
Energy relative to the elements, uncorrected (meV/atom): -2017
Electronic total energy (eV/atom): -5.713

(2)
A relaxed Ta4CoP crystal, computed with GGA-PBE.

POSCAR file:
```
Ta4CoP
1.0
3.0652 -3.6523 2.4434
1.9865 0.9986 4.8745
-1.8784 -2.6597 4.2547
Ta P Co
4 1 1
Direct
0.1260 0.6247 0.6247 Ta
0.6247 0.1260 0.6247 Ta
0.6247 0.6247 0.6247 Ta
0.6247 0.6247 0.1260 Ta
0.0000 0.0000 0.0000 P
0.2500 0.2500 0.2500 Co
```

Values from the calculation:
N(E_F) (states/eV per cell): 6.67
DFT formation energy (kJ/mol of formula units): 466
Space-group type: F-43m, No. 216
Electronic total energy (eV/atom): -9.183

(3)
A relaxed HfFeOs2I crystal, computed with GGA-PBE.

POSCAR file:
```
HfFeOs2I
1.0
4.7841 0.0000 0.0000
0.0000 5.1030 0.0000
0.0000 0.0000 4.7841
I Os Fe Hf
1 2 1 1
Direct
0.0000 0.0000 0.0000 I
0.5000 0.0000 0.0000 Os
0.0000 0.0000 0.5000 Os
0.5000 0.5000 0.5000 Fe
0.0000 0.5000 0.0000 Hf
```

Values from the calculation:
N(E_F) (states/eV per cell): 6.94
Space-group type: P4/mmm, No. 123
Energy relative to the elements, uncorrected (meV/atom): 2383
Electronic total energy (eV/atom): -6.102

(4)
A relaxed PbClF crystal, computed with GGA-PBE.

POSCAR file:
```
PbClF
1.0
-0.5989 1.5245 3.8021
3.4655 -1.8603 1.2918
3.8921 6.0044 -1.7945
F Cl Pb
2 2 2
Direct
0.0000 0.0000 0.5000 F
0.5000 0.5000 0.5000 F
0.5000 0.0000 0.1483 Cl
0.0000 0.5000 0.8517 Cl
0.5000 0.0000 0.7054 Pb
0.0000 0.5000 0.2946 Pb
```

Values from the calculation:
N(E_F) (states/eV per cell): 0.00
Space-group type: P4/nmm, No. 129
Energy relative to the elements, uncorrected (meV/atom): -1801
Electronic total energy (eV/atom): -4.277

(5)
A relaxed SrTlNiBi2 crystal, computed with GGA-PBE.

POSCAR file:
```
SrTlNiBi2
1.0
5.3942 0.0000 0.0000
0.0000 5.3942 0.0000
0.0000 0.0000 5.1096
Bi Tl Sr Ni
2 1 1 1
Direct
0.0000 0.5000 0.0000 Bi
0.5000 0.0000 0.0000 Bi
0.0000 0.0000 0.5000 Tl
0.5000 0.5000 0.5000 Sr
0.0000 0.0000 0.0000 Ni
```

Values from the calculation:
N(E_F) (states/eV per cell): 3.16
DFT formation energy (kJ/mol of formula units): -86
Space-group type: P4/mmm, No. 123
Energy relative to the lowest polymorph listed for this composition (kcal/mol of atoms): 0.00
Electronic total energy (eV/atom): -3.697

(6)
A relaxed LiPrSm2 crystal, computed with GGA-PBE.

POSCAR file:
```
LiPrSm2
1.0
-0.6669 0.2503 -5.5900
-4.3139 -2.6768 -2.4456
-4.2662 2.9528 -2.1992
Li Sm Pr
1 2 1
Direct
0.5000 0.5000 0.5000 Li
0.7500 0.7500 0.7500 Sm
0.2500 0.2500 0.2500 Sm
0.0000 0.0000 0.0000 Pr
```

Values from the calculation:
N(E_F) (states/eV per cell): 6.08
DFT formation energy (kJ/mol of formula units): 79
Space-group type: Fm-3m, No. 225
Energy relative to the lowest polymorph listed for this composition (kcal/mol of atoms): 3.08
Electronic total energy (eV/atom): -3.829